(1)
VASP calculation (PBE) on a relaxed Pm5NdHo6 crystal.

abc: 5.095 10.080 9.493
angles: 122.07 105.56 90.00
Atoms (fractional coordinates):
Nd: 0.000 0.000 0.000
Ho: 0.833 0.583 0.666
Ho: 0.833 0.083 0.666
Ho: 0.500 0.750 0.000
Ho: 0.500 0.250 0.000
Ho: 0.167 0.917 0.334
Ho: 0.167 0.417 0.334
Pm: 0.667 0.167 0.334
Pm: 0.333 0.333 0.667
Pm: 0.000 0.500 0.000
Pm: 0.667 0.667 0.333
Pm: 0.333 0.833 0.666

Crystal system   orthorhombic
Uncorrected energy   -4.65 eV per atom
Formation energy from the elements   16 meV per atom

---

(2)
VASP calculation (PBE) on a relaxed YP crystal.

abc: 3.480 3.480 3.480
angles: 90.00 90.00 90.00
Atoms (fractional coordinates):
Y: 0.000 0.000 0.000
P: 0.500 0.500 0.500

Crystal system   cubic
Uncorrected energy   -7.00 eV per atom
Formation energy from the elements   -1065 meV per atom